First-principles (PBE-GGA) data for an optimized crystal structure of AlAu, as listed in the Alexandria database.

Properties
**SG**: No. 187
**Formation energy from the elements**: -0.339 eV per atom
**ρ**: 9.7 g cm⁻³

Unit cell a=3.9546 b=3.9546 c=2.8189 alpha=90.00 beta=90.00 gamma=120.00
Atoms (fractional coordinates):
1 Al 0.0000 0.0000 0.0000
2 Au 0.6667 0.3333 0.5000